# Ba3BiRu2O9 GGA-PBE optimized geometry
data_Ba3BiRu2O9
_symmetry_space_group_name_H-M 'P 1'
_symmetry_Int_Tables_number 1
_symmetry_space_group_name_Hall 'P 1'
_cell_length_a 5.9391
_cell_length_b 5.9391
_cell_length_c 7.3633
_cell_angle_alpha 90.00
_cell_angle_beta 90.00
_cell_angle_gamma 120.00
loop_
_atom_site_label
_atom_site_type_symbol
_atom_site_fract_x
_atom_site_fract_y
_atom_site_fract_z
Ba1 Ba 0.3333 0.6667 0.6799
Ba2 Ba 0.0000 0.0000 0.0000
Ba3 Ba 0.6667 0.3333 0.3201
Bi1 Bi 0.0000 0.0000 0.5000
Ru1 Ru 0.3333 0.6667 0.1570
Ru2 Ru 0.6667 0.3333 0.8430
O1 O 0.8223 0.1777 0.6870
O2 O 0.8223 0.6445 0.6870
O3 O 0.3555 0.1777 0.6870
O4 O 0.6445 0.8223 0.3130
O5 O 0.1777 0.3555 0.3130
O6 O 0.1777 0.8223 0.3130
O7 O 0.5000 0.0000 0.0000
O8 O 0.0000 0.5000 0.0000
O9 O 0.5000 0.5000 0.0000
# Space group ... No. 164
# Energy above the lowest structure with this stoichiometry ... 18.8 meV per atom

---

# Ba2BiRuO6 GGA-PBE optimized geometry
data_Ba2BiRuO6
_symmetry_space_group_name_H-M 'P 1'
_symmetry_Int_Tables_number 1
_symmetry_space_group_name_Hall 'P 1'
_cell_length_a 6.1293
_cell_length_b 6.1293
_cell_length_c 20.5695
_cell_angle_alpha 90.00
_cell_angle_beta 90.00
_cell_angle_gamma 120.00
loop_
_atom_site_label
_atom_site_type_symbol
_atom_site_fract_x
_atom_site_fract_y
_atom_site_fract_z
Ba1 Ba 0.6667 0.3333 0.6449
Ba2 Ba 0.6667 0.3333 0.2500
Ba3 Ba 0.3333 0.6667 0.7500
Ba4 Ba 0.0000 0.0000 0.5000
Ba5 Ba 0.3333 0.6667 0.1449
Ba6 Ba 0.3333 0.6667 0.3551
Ba7 Ba 0.6667 0.3333 0.8551
Ba8 Ba 0.0000 0.0000 0.0000
Bi1 Bi 0.6667 0.3333 0.4388
Bi2 Bi 0.3333 0.6667 0.5612
Bi3 Bi 0.6667 0.3333 0.0612
Bi4 Bi 0.3333 0.6667 0.9388
Ru1 Ru 0.0000 0.0000 0.6835
Ru2 Ru 0.0000 0.0000 0.3165
Ru3 Ru 0.0000 0.0000 0.8165
Ru4 Ru 0.0000 0.0000 0.1835
O1 O 0.1545 0.8455 0.6354
O2 O 0.8496 0.6992 0.7500
O3 O 0.1545 0.3089 0.8646
O4 O 0.8455 0.1545 0.3646
O5 O 0.1545 0.3089 0.6354
O6 O 0.5000 0.0000 0.0000
O7 O 0.6911 0.8455 0.6354
O8 O 0.1504 0.3008 0.2500
O9 O 0.1504 0.8496 0.2500
O10 O 0.8455 0.6911 0.1354
O11 O 0.3008 0.1504 0.7500
O12 O 0.3089 0.1545 0.1354
O13 O 0.5000 0.0000 0.5000
O14 O 0.6992 0.8496 0.2500
O15 O 0.3089 0.1545 0.3646
O16 O 0.8455 0.1545 0.1354
O17 O 0.8455 0.6911 0.3646
O18 O 0.0000 0.5000 0.5000
O19 O 0.5000 0.5000 0.5000
O20 O 0.6911 0.8455 0.8646
O21 O 0.8496 0.1504 0.7500
O22 O 0.0000 0.5000 0.0000
O23 O 0.1545 0.8455 0.8646
O24 O 0.5000 0.5000 0.0000
# Space group ... No. 194
# Energy above the lowest structure with this stoichiometry ... 16.2 meV per atom

---

# BaBiRuO GGA-PBE optimized geometry
data_BaBiRuO
_symmetry_space_group_name_H-M 'P 1'
_symmetry_Int_Tables_number 1
_symmetry_space_group_name_Hall 'P 1'
_cell_length_a 4.3577
_cell_length_b 4.3577
_cell_length_c 19.6047
_cell_angle_alpha 90.00
_cell_angle_beta 90.00
_cell_angle_gamma 120.00
loop_
_atom_site_label
_atom_site_type_symbol
_atom_site_fract_x
_atom_site_fract_y
_atom_site_fract_z
Ru1 Ru 0.0000 0.0000 0.1152
Ru2 Ru 0.3333 0.6667 0.7819
Ru3 Ru 0.6667 0.3333 0.4485
Ba1 Ba 0.0000 0.0000 0.3190
Ba2 Ba 0.3333 0.6667 0.9857
Ba3 Ba 0.6667 0.3333 0.6523
O1 O 0.0000 0.0000 0.0138
O2 O 0.3333 0.6667 0.6804
O3 O 0.6667 0.3333 0.3471
Bi1 Bi 0.0000 0.0000 0.8276
Bi2 Bi 0.3333 0.6667 0.4943
Bi3 Bi 0.6667 0.3333 0.1609
# Space group ... No. 160
# Energy above the lowest structure with this stoichiometry ... 10.4 meV per atom

---

# BaBiRuO GGA-PBE optimized geometry
data_BaBiRuO
_symmetry_space_group_name_H-M 'P 1'
_symmetry_Int_Tables_number 1
_symmetry_space_group_name_Hall 'P 1'
_cell_length_a 4.3714
_cell_length_b 4.3728
_cell_length_c 6.3816
_cell_angle_alpha 89.92
_cell_angle_beta 89.93
_cell_angle_gamma 60.07
loop_
_atom_site_label
_atom_site_type_symbol
_atom_site_fract_x
_atom_site_fract_y
_atom_site_fract_z
Ba1 Ba 0.1518 0.8221 0.9446
Bi1 Bi 0.8184 0.4890 0.4873
Ru1 Ru 0.4850 0.1556 0.3506
O1 O 0.4853 0.1557 0.0442
# Space group ... No. 8
# Energy above the lowest structure with this stoichiometry ... 0.0 meV per atom

---

# BaBi2RuO8 GGA-PBE optimized geometry
data_BaBi2RuO8
_symmetry_space_group_name_H-M 'P 1'
_symmetry_Int_Tables_number 1
_symmetry_space_group_name_Hall 'P 1'
_cell_length_a 4.8508
_cell_length_b 5.5531
_cell_length_c 7.3075
_cell_angle_alpha 79.38
_cell_angle_beta 83.94
_cell_angle_gamma 82.35
loop_
_atom_site_label
_atom_site_type_symbol
_atom_site_fract_x
_atom_site_fract_y
_atom_site_fract_z
Ba1 Ba 0.0000 0.0000 0.5000
Bi1 Bi 0.4517 0.4414 0.7450
Bi2 Bi 0.5483 0.5586 0.2550
Ru1 Ru 0.0000 0.0000 0.0000
O1 O 0.1159 0.7284 0.2150
O2 O 0.7013 0.8318 0.9859
O3 O 0.7913 0.1747 0.1760
O4 O 0.8841 0.2716 0.7850
O5 O 0.2987 0.1682 0.0141
O6 O 0.2087 0.8253 0.8240
O7 O 0.5734 0.7235 0.5007
O8 O 0.4266 0.2765 0.4993
# Space group ... No. 2

---

# BaBiRuO GGA-PBE optimized geometry
data_BaBiRuO
_symmetry_space_group_name_H-M 'P 1'
_symmetry_Int_Tables_number 1
_symmetry_space_group_name_Hall 'P 1'
_cell_length_a 3.3782
_cell_length_b 4.5889
_cell_length_c 6.8193
_cell_angle_alpha 108.00
_cell_angle_beta 89.81
_cell_angle_gamma 111.66
loop_
_atom_site_label
_atom_site_type_symbol
_atom_site_fract_x
_atom_site_fract_y
_atom_site_fract_z
Ba1 Ba 0.5438 0.6129 0.0622
Bi1 Bi 0.3816 0.2794 0.5049
Ru1 Ru 0.7181 0.9571 0.7133
O1 O 0.2116 0.9462 0.8929
# Space group ... No. 1
# Energy above the lowest structure with this stoichiometry ... 218.1 meV per atom

---

# Ba3Bi2RuO9 GGA-PBE optimized geometry
data_Ba3Bi2RuO9
_symmetry_space_group_name_H-M 'P 1'
_symmetry_Int_Tables_number 1
_symmetry_space_group_name_Hall 'P 1'
_cell_length_a 6.0872
_cell_length_b 8.7140
_cell_length_c 10.5892
_cell_angle_alpha 113.92
_cell_angle_beta 106.76
_cell_angle_gamma 89.77
loop_
_atom_site_label
_atom_site_type_symbol
_atom_site_fract_x
_atom_site_fract_y
_atom_site_fract_z
Ba1 Ba 0.1783 0.9306 0.3429
Ba2 Ba 0.5035 0.2414 0.0057
Ba3 Ba 0.8253 0.5855 0.6596
Ba4 Ba 0.8217 0.0694 0.6571
Ba5 Ba 0.1747 0.4145 0.3404
Ba6 Ba 0.4965 0.7586 0.9943
Bi1 Bi 0.3283 0.3321 0.6684
Bi2 Bi 0.6717 0.6679 0.3316
Bi3 Bi 0.0000 0.0000 0.0000
Bi4 Bi 0.0000 0.5000 0.0000
Ru1 Ru 0.3315 0.8335 0.6669
Ru2 Ru 0.6685 0.1665 0.3331
O1 O 0.9140 0.6208 0.1996
O2 O 0.2193 0.9407 0.8411
O3 O 0.5505 0.2695 0.5020
O4 O 0.0860 0.3792 0.8004
O5 O 0.4495 0.7305 0.4980
O6 O 0.7807 0.0593 0.1589
O7 O 0.0032 0.7319 0.9762
O8 O 0.3390 0.0549 0.6475
O9 O 0.6758 0.3896 0.3187
O10 O 0.6378 0.4320 0.8727
O11 O 0.0042 0.7676 0.5396
O12 O 0.3413 0.0958 0.1974
O13 O 0.9968 0.2681 0.0238
O14 O 0.3242 0.6104 0.6813
O15 O 0.6610 0.9451 0.3525
O16 O 0.3622 0.5680 0.1273
O17 O 0.6587 0.9042 0.8026
O18 O 0.9958 0.2324 0.4604
# Space group ... No. 2

---

# Ba2BiRuO6 GGA-PBE optimized geometry
data_Ba2BiRuO6
_symmetry_space_group_name_H-M 'P 1'
_symmetry_Int_Tables_number 1
_symmetry_space_group_name_Hall 'P 1'
_cell_length_a 6.0703
_cell_length_b 6.0714
_cell_length_c 6.0704
_cell_angle_alpha 60.00
_cell_angle_beta 60.00
_cell_angle_gamma 90.00
loop_
_atom_site_label
_atom_site_type_symbol
_atom_site_fract_x
_atom_site_fract_y
_atom_site_fract_z
Ba1 Ba 0.7500 0.2501 0.4998
Ba2 Ba 0.2500 0.7499 0.5001
Bi1 Bi 0.0000 0.0000 0.0000
Ru1 Ru 0.5000 0.5000 0.0000
O1 O 0.2684 0.2684 0.4636
O2 O 0.7318 0.7313 0.0003
O3 O 0.2685 0.7319 0.0000
O4 O 0.7315 0.2681 0.0000
O5 O 0.2682 0.2687 0.9997
O6 O 0.7316 0.7316 0.5364
# Space group ... No. 225
# Energy above the lowest structure with this stoichiometry ... 0.0 meV per atom

---

Computed values of uncorrected formation energy (unit: eV/atom) for the preceding records, in sequence: -1.761; -1.775; -0.862; -0.872; -1.152; -0.654; -1.800; -1.791.